This record from Alexandria describes a relaxed structure of Ag6SeI2Br3. The functional is PBE.

Values from the calculation:
Formation energy from raw total energies: -0.18 eV/atom

abc: 7.169 7.169 7.741
angles: 104.77 104.77 113.94
Positions (direct):
Ag 0.908 0.593 0.757
Ag 0.817 0.817 0.222
Ag 0.092 0.407 0.243
Ag 0.593 0.908 0.757
Ag 0.183 0.183 0.778
Ag 0.407 0.092 0.243
Se 0.000 0.000 0.000
I 0.334 0.666 0.000
I 0.666 0.334 0.000
Br 0.175 0.825 0.500
Br 0.825 0.175 0.500
Br 0.500 0.500 0.500

***

This record from Alexandria describes a relaxed structure of ZrInMo2Au. The functional is PBE.

Values from the calculation:
E_form: 1.54 eV per atom

abc: 4.873 5.217 4.873
angles: 90.00 90.00 90.00
Last column: magnetic moment on the atom in μB.
Positions (direct):
Mo 0.000 0.000 0.500  0.94
Mo 0.500 0.000 0.000  1.20
Au 0.000 0.500 0.000  0.02
Zr 0.000 0.000 0.000  -0.11
In 0.500 0.500 0.500  -0.02

***

This record from Alexandria describes a relaxed structure of Pu2MgIn4. The functional is PBE.

Values from the calculation:
E_form: 0.25 eV per atom

abc: 5.001 6.340 7.368
angles: 115.48 90.00 90.00
Last column: magnetic moment on the atom in μB.
Positions (direct):
Pu 0.500 0.117 0.233  5.73
Pu 0.500 0.883 0.767  5.73
Mg 0.000 0.500 0.000  0.00
In 0.500 0.615 0.230  0.01
In 0.000 0.734 0.469  -0.02
In 0.500 0.385 0.770  0.01
In 0.000 0.266 0.531  -0.02

***

This record from Alexandria describes a relaxed structure of CeTlCl5. The functional is PBE.

Values from the calculation:
Formation energy from raw total energies: -1.69 eV/atom

abc: 7.500 7.500 10.775
angles: 71.60 71.60 71.94
Positions (direct):
Ce 0.000 0.000 0.000
Ce 0.000 0.000 0.500
Tl 0.458 0.542 0.750
Tl 0.542 0.458 0.250
Cl 0.277 0.176 0.908
Cl 0.329 0.750 0.449
Cl 0.176 0.277 0.408
Cl 0.067 0.933 0.750
Cl 0.250 0.671 0.051
Cl 0.750 0.329 0.949
Cl 0.933 0.067 0.250
Cl 0.824 0.723 0.592
Cl 0.671 0.250 0.551
Cl 0.723 0.824 0.092

***

This record from Alexandria describes a relaxed structure of AcLa4Tb. The functional is PBE.

Values from the calculation:
E_form: 0.17 eV per atom
Energy above the most stable polymorph in this dataset: 0.000 eV/atom

abc: 3.594 6.334 12.173
angles: 119.28 90.00 106.48
Positions (direct):
Ac 0.500 0.000 0.000
La 0.151 0.301 0.835
La 0.849 0.699 0.165
La 0.660 0.320 0.350
La 0.340 0.680 0.650
Tb 0.000 0.000 0.500

***

This record from Alexandria describes a relaxed structure of Ac2Pr3Hg2. The functional is PBE.

Values from the calculation:
E_form: -0.21 eV per atom

abc: 4.962 6.815 8.743
angles: 113.54 90.00 111.35
Positions (direct):
Ac 0.861 0.722 0.205
Ac 0.139 0.278 0.795
Pr 0.500 0.000 0.000
Pr 0.631 0.262 0.462
Pr 0.369 0.738 0.538
Hg 0.853 0.706 0.796
Hg 0.147 0.294 0.204

***

Magnetic moment (μB/f.u.)
0.000, 2.358, 12.433, 0.000, 0.000, 0.000